## Al2CuBr (PBE-GGA)

Data for a relaxed Al2CuBr crystal.

The structure in CIF format:
```
data_Al2CuBr
_cell_length_a 5.039
_cell_length_b 3.242
_cell_length_c 5.317
_cell_angle_alpha 90.00
_cell_angle_beta 115.86
_cell_angle_gamma 90.00
_symmetry_space_group_name_H-M 'P 1 2/m 1'
_symmetry_Int_Tables_number 10
loop_
_symmetry_equiv_pos_as_xyz
'x,y,z'
'-x,-y,-z'
'-x,y,-z'
'x,-y,z'
loop_
_atom_site_label
_atom_site_type_symbol
_atom_site_fract_x
_atom_site_fract_y
_atom_site_fract_z
Al1 Al 0.222 0.000 0.265
Cu1 Cu 0.000 0.500 0.500
Br1 Br 0.500 0.500 0.000
```

**Formation energy without anion corrections**: 0.20 eV per atom
**Energy**: -0.2287 Ry per atom
**V**: 19.54 Å³/atom